Material: TaTl2I
Method: DFT, GGA-PBE
State: relaxed

The structure in POSCAR format:
```
TaTl2I
1.0
4.4263 0.0000 0.0000
0.0000 4.4263 0.0000
2.2131 2.2131 11.6088
I Tl Ta
2 4 2
direct
0.5000 0.5000 0.0000
0.2500 0.7500 0.5000
0.6380 0.1250 0.2500
0.1120 0.6250 0.2500
0.3750 0.3620 0.7500
0.8750 0.8880 0.7500
0.0000 0.0000 0.0000
0.7500 0.2500 0.5000
```

Results
- Distance to the lowest polymorph of the same formula: 0 kJ/mol of formula units
- VASP energy: -28.5 eV per cell
- Uncorrected formation energy: 0.97 eV/atom